Below is OsClF8 after structural relaxation, with properties calculated at the PBE level.

energy: -4.128 eV per atom
E_form (uncorrected): -1.323 eV/atom
E above lowest polymorph: 0.0 meV per atom
density: 3416 kg/m³

Cell: 5.2071 5.5829 6.3218 Å, 91.03 90.95 92.06°
Last column: nearest neighbours and their distance in Å.
Space group P1 (No. 1)
Asymmetric unit:
Os 0.0000 0.0000 0.0000 x1  6 F 1.87
Cl 0.4930 0.4826 0.5006 x1  2 F 1.74
F 0.1885 0.3441 0.5100 x1  1 Cl 1.74
F 0.1979 0.2870 0.0083 x1  1 Os 1.87
F 0.2135 0.8769 0.2101 x1  1 Os 1.87
F 0.2148 0.8783 0.7922 x1  1 Os 1.87
F 0.7383 0.7007 0.4900 x1  1 Cl 1.74
F 0.7849 0.1224 0.2068 x1  1 Os 1.87
F 0.7861 0.1236 0.7909 x1  1 Os 1.87
F 0.8034 0.7124 0.9917 x1  1 Os 1.87